First-principles (PBE-GGA) data for a geometry-optimized TaNbW4 structure, as listed in the Alexandria database.

## Properties
distance to the lowest polymorph of the same formula	13	meV/atom
space-group type	P-3m1 (164)
energy relative to the elements	-80	meV per atom

a b c (Å): 4.5490 4.5490 5.5855
angles (deg): 90.00 90.00 120.00
Closest atoms and distances in Å follow each position.
Atoms (fractional coordinates):
Ta 0.0000 0.0000 0.0000  6 W 2.79, 2 Nb 2.79
Nb 0.0000 0.0000 0.5000  6 W 2.79, 2 Ta 2.79
W 0.3333 0.6667 0.3303  5 W 2.78-2.80, 3 Nb 2.79
W 0.3333 0.6667 0.8313  5 W 2.78-2.80, 3 Ta 2.79
W 0.6667 0.3333 0.1687  5 W 2.78-2.80, 3 Ta 2.79
W 0.6667 0.3333 0.6697  5 W 2.78-2.80, 3 Nb 2.79

First-principles (PBE-GGA) data for a geometry-optimized Ta12Nb6W structure, as listed in the Alexandria database.

## Properties
space-group type	R-3 (148)
energy relative to the elements	169	meV per atom

a b c (Å): 7.1066 7.1066 7.1066
angles (deg): 88.72 88.72 88.72
Closest atoms and distances in Å follow each position.
Atoms (fractional coordinates):
Ta 0.0185 0.3090 0.9225  4 Nb 2.88-2.92, 5 Ta 2.90-3.13
Ta 0.0775 0.9815 0.6910  4 Nb 2.88-2.92, 5 Ta 2.90-3.13
Ta 0.1216 0.3494 0.4442  5 Ta 2.84-3.13, 5 Nb 2.88-3.14, 1 W 2.95
Ta 0.3090 0.9225 0.0185  4 Nb 2.88-2.92, 5 Ta 2.90-3.13
Ta 0.3494 0.4442 0.1216  5 Ta 2.84-3.13, 5 Nb 2.88-3.14, 1 W 2.95
Ta 0.4442 0.1216 0.3494  5 Ta 2.84-3.13, 5 Nb 2.88-3.14, 1 W 2.95
Ta 0.5558 0.8784 0.6506  5 Ta 2.84-3.13, 5 Nb 2.88-3.14, 1 W 2.95
Ta 0.6506 0.5558 0.8784  5 Ta 2.84-3.13, 5 Nb 2.88-3.14, 1 W 2.95
Ta 0.6910 0.0775 0.9815  4 Nb 2.88-2.92, 5 Ta 2.90-3.13
Ta 0.8784 0.6506 0.5558  5 Ta 2.84-3.13, 5 Nb 2.88-3.14, 1 W 2.95
Ta 0.9225 0.0185 0.3090  4 Nb 2.88-2.92, 5 Ta 2.90-3.13
Ta 0.9815 0.6910 0.0775  4 Nb 2.88-2.92, 5 Ta 2.90-3.13
Nb 0.2324 0.7621 0.3866  1 W 2.75, 8 Ta 2.88-3.07, 2 Nb 2.89
Nb 0.2379 0.6134 0.7676  1 W 2.75, 8 Ta 2.88-3.07, 2 Nb 2.89
Nb 0.3866 0.2324 0.7621  1 W 2.75, 8 Ta 2.88-3.07, 2 Nb 2.89
Nb 0.6134 0.7676 0.2379  1 W 2.75, 8 Ta 2.88-3.07, 2 Nb 2.89
Nb 0.7621 0.3866 0.2324  1 W 2.75, 8 Ta 2.88-3.07, 2 Nb 2.89
Nb 0.7676 0.2379 0.6134  1 W 2.75, 8 Ta 2.88-3.07, 2 Nb 2.89
W 0.5000 0.5000 0.5000  6 Nb 2.75, 6 Ta 2.95